Crystalline KMgPt2C at its relaxed geometry. Source: the Alexandria database, functional GGA-PBE.

Output
Calculated volume = 85.4 Å³/cell
Calculated formation energy = 1.50 eV/f.u.
Calculated total energy = -0.331 Ry per atom

Cell lengths 4.363, 4.486, 4.363 Å; angles 90.00, 90.00, 90.00 degrees
Last column: magnetic moment on the atom in μB.
Sites, in units of the cell vectors:
K 0.500 0.500 0.500  0.00
C 0.000 0.000 0.000  0.08
Pt 0.000 0.000 0.500  0.23
Pt 0.500 0.000 0.000  0.37
Mg 0.000 0.500 0.000  0.00

---

Crystalline KMgRe2C at its relaxed geometry. Source: the Alexandria database, functional GGA-PBE.

Output
Calculated volume = 101.2 Å³/cell
Calculated formation energy = 21.85 eV/f.u.
Calculated total energy = -0.220 Ry per atom

Cell lengths 4.535, 4.920, 4.535 Å; angles 90.00, 90.00, 90.00 degrees
Sites, in units of the cell vectors:
Re 0.000 0.000 0.500
Re 0.500 0.000 0.000
C 0.500 0.500 0.500
Mg 0.000 0.500 0.000
K 0.000 0.000 0.000

---

Crystalline K2MgSbC at its relaxed geometry. Source: the Alexandria database, functional GGA-PBE.

Output
Calculated volume = 198.9 Å³/cell
Formation energy without anion corrections = 0.88 eV per atom
Calculated total energy = -0.187 Ry per atom

Cell lengths 6.834, 4.260, 6.834 Å; angles 90.00, 90.00, 90.00 degrees
Sites, in units of the cell vectors:
K 0.500 0.000 0.000
K 0.000 0.000 0.500
Mg 0.500 0.500 0.500
Sb 0.000 0.000 0.000
C 0.000 0.500 0.000

---

Crystalline KMgSbC2 at its relaxed geometry. Source: the Alexandria database, functional GGA-PBE.

Output
Calculated volume = 127.0 Å³/cell
Formation energy without anion corrections = 2.10 eV per atom
Calculated total energy = -0.217 Ry per atom

Cell lengths 4.464, 6.376, 4.464 Å; angles 90.00, 90.00, 90.00 degrees
Sites, in units of the cell vectors:
C 0.500 0.000 0.000
C 0.000 0.000 0.500
Sb 0.000 0.000 0.000
K 0.000 0.500 0.000
Mg 0.500 0.500 0.500

---

Crystalline KY2MgC at its relaxed geometry. Source: the Alexandria database, functional GGA-PBE.

Output
Calculated volume = 138.3 Å³/cell
Calculated formation energy = 9.54 eV/f.u.
Calculated total energy = -0.225 Ry per atom

Cell lengths 5.607, 4.399, 5.607 Å; angles 90.00, 90.00, 90.00 degrees
Sites, in units of the cell vectors:
Y 0.000 0.000 0.500
Y 0.500 0.000 0.000
K 0.000 0.000 0.000
Mg 0.500 0.500 0.500
C 0.000 0.500 0.000

---

Crystalline KMnC2 at its relaxed geometry. Source: the Alexandria database, functional GGA-PBE.

Output
Calculated volume = 136.3 Å³/cell
Calculated formation energy = 2.27 eV/f.u.
Calculated total energy = -0.486 Ry per atom

Cell lengths 5.771, 5.771, 5.780 Å; angles 60.05, 60.05, 90.00 degrees
Sites, in units of the cell vectors:
C 0.375 0.125 0.750
C 0.875 0.125 0.250
C 0.875 0.625 0.250
C 0.875 0.125 0.750
K 0.250 0.750 0.500
K 0.500 0.500 0.000
Mn 0.750 0.250 0.500
Mn 0.000 0.000 0.000

---

Crystalline K3MnC at its relaxed geometry. Source: the Alexandria database, functional GGA-PBE.

Output
Calculated volume = 197.3 Å³/cell
Calculated formation energy = 6.70 eV/f.u.
Calculated total energy = -0.220 Ry per atom

Cell lengths 5.822, 5.822, 5.822 Å; angles 90.00, 90.00, 90.00 degrees
Last column: magnetic moment on the atom in μB.
Sites, in units of the cell vectors:
C 0.000 0.000 0.000  0.92
K 0.000 0.500 0.000  0.01
K 0.500 0.000 0.000  0.01
K 0.000 0.000 0.500  0.01
Mn 0.500 0.500 0.500  4.23

---

Crystalline KMnC2 at its relaxed geometry. Source: the Alexandria database, functional GGA-PBE.

Output
Calculated volume = 47.4 Å³/cell
Calculated formation energy = 10.82 eV/f.u.
Calculated total energy = -0.329 Ry per atom

Cell lengths 4.062, 4.062, 4.062 Å; angles 60.00, 60.00, 60.00 degrees
Sites, in units of the cell vectors:
C 0.250 0.250 0.250
C 0.750 0.750 0.750
K 0.000 0.000 0.000
Mn 0.500 0.500 0.500